No. 1
VASP calculation (PBE-GGA) on an optimized crystal structure of CaYSi2.

Calculated values
ρ: 3.50 Mg/m³
formation energy without anion corrections: -1.5 eV per formula unit
total magnetic moment: 0.00 μB per formula unit
energy above the most stable polymorph in this dataset: 284.2 meV per atom
total DFT energy (no corrections): -5.20 eV per atom

Unit cell a=6.610 b=8.135 c=3.270 alpha=90.00 beta=90.00 gamma=90.00
Space group Cmmm (No. 65)
Unique sites:
Ca (0.000, 0.000, 0.000) (multiplicity 2)
Y (0.000, 0.500, 0.000) (multiplicity 2)
Si (0.250, 0.250, 0.500) (multiplicity 4)


No. 2
VASP calculation (PBE-GGA) on an optimized crystal structure of Fe8Ge4N.

Calculated values
ρ: 7.87 Mg/m³
formation energy without anion corrections: 0.3 eV per formula unit
total magnetic moment: 4.05 μB per formula unit
total DFT energy (no corrections): -7.25 eV per atom

Unit cell a=3.183 b=3.790 c=13.134 alpha=90.00 beta=90.00 gamma=90.00
Space group Pmm2 (No. 25)
Unique sites:
Fe (0.000, 0.000, 0.000) (multiplicity 1)
Fe (0.000, 0.000, 0.297) (multiplicity 1)
Fe (0.000, 0.500, 0.151) (multiplicity 1)
Fe (0.000, 0.500, 0.834) (multiplicity 1)
Fe (0.500, 0.000, 0.494) (multiplicity 1)
Fe (0.500, 0.000, 0.845) (multiplicity 1)
Fe (0.500, 0.500, 0.372) (multiplicity 1)
Fe (0.500, 0.500, 0.672) (multiplicity 1)
Ge (0.000, 0.000, 0.700) (multiplicity 1)
Ge (0.000, 0.500, 0.526) (multiplicity 1)
Ge (0.500, 0.000, 0.150) (multiplicity 1)
Ge (0.500, 0.500, 0.984) (multiplicity 1)
N (0.000, 0.500, 0.296) (multiplicity 1)


No. 3
VASP calculation (PBE-GGA) on an optimized crystal structure of Y7O6F9.

Calculated values
ρ: 4.86 Mg/m³
formation energy without anion corrections: -84.2 eV per formula unit
total magnetic moment: 0.00 μB per formula unit
energy above the most stable polymorph in this dataset: 75.7 meV per atom
total DFT energy (no corrections): -8.00 eV per atom

Unit cell a=5.520 b=39.436 c=5.581 alpha=90.00 beta=90.00 gamma=90.00
Space group Aem2 (No. 39)
Unique sites:
Y (0.199, 0.100, 0.000) (multiplicity 8)
Y (0.234, 0.169, 0.484) (multiplicity 8)
Y (0.237, 0.029, 0.476) (multiplicity 8)
Y (0.242, 0.250, 0.907) (multiplicity 4)
O (0.000, 0.000, 0.229) (multiplicity 4)
O (0.023, 0.142, 0.755) (multiplicity 8)
O (0.038, 0.070, 0.718) (multiplicity 8)
O (0.500, 0.000, 0.216) (multiplicity 4)
F (0.046, 0.216, 0.192) (multiplicity 8)
F (0.370, 0.250, 0.530) (multiplicity 4)
F (0.404, 0.199, 0.840) (multiplicity 8)
F (0.454, 0.078, 0.328) (multiplicity 8)
F (0.462, 0.142, 0.170) (multiplicity 8)